# La2NiIr

A relaxed La2NiIr crystal (PBE, Alexandria).

Calculated values
Energy of formation from the pure elements = -0.3871 eV/atom
Density = 9.327 g/cm3

Unit cell a=6.597 b=6.597 c=4.170 alpha=71.55 beta=71.55 gamma=33.34
Positions (direct):
Ni 0.550 0.550 0.450
La 0.764 0.764 0.736
La 0.989 0.989 0.011
Ir 0.197 0.197 0.303